1.
Compound: Mg2MoPb
Source: Alexandria
Functional: PBE
Structure: relaxed

Lattice parameters (Å, degrees): 5.5118 5.5118 3.0501 84.49 84.49 116.39
Positions (direct):
Mg: 0.0000 0.0000 0.0000
Mg: 0.5000 0.5000 0.0000
Mo: 0.5000 0.0000 0.5000
Pb: 0.0000 0.5000 0.5000

## Properties
Space-group type = No. 12
ΔH_f (0 K) = 0.383 eV/atom

***

2.
Compound: VZn4W
Source: Alexandria
Functional: PBE
Structure: relaxed

Lattice parameters (Å, degrees): 4.9032 4.9032 4.9032 60.00 60.00 60.00
Positions (direct):
Zn: 0.6249 0.6249 0.1252
Zn: 0.6249 0.1252 0.6249
Zn: 0.6249 0.6249 0.6249
Zn: 0.1252 0.6249 0.6249
W: 0.2500 0.2500 0.2500
V: 0.0000 0.0000 0.0000

## Properties
Space-group type = No. 216
ΔH_f (0 K) = 0.111 eV/atom

***

3.
Compound: LiY2Bi
Source: Alexandria
Functional: PBE
Structure: relaxed

Lattice parameters (Å, degrees): 8.3310 8.3310 6.7537 51.92 51.92 90.00
Positions (direct):
Y: 0.6153 0.1250 0.2500
Y: 0.1347 0.6250 0.2500
Y: 0.3750 0.3847 0.7500
Y: 0.8750 0.8653 0.7500
Bi: 0.0000 0.0000 0.0000
Bi: 0.7500 0.2500 0.5000
Li: 0.5000 0.5000 0.0000
Li: 0.2500 0.7500 0.5000

## Properties
Space-group type = No. 122
ΔH_f (0 K) = -0.091 eV/atom

***

4.
Compound: Ba2Mg5Hg4
Source: Alexandria
Functional: PBE
Structure: relaxed

Lattice parameters (Å, degrees): 6.4774 6.4976 9.2946 80.00 69.61 60.10
Positions (direct):
Ba: 0.8636 0.0000 0.2728
Ba: 0.1364 0.0000 0.7272
Mg: 0.5000 0.0000 0.0000
Mg: 0.0000 0.5000 0.0000
Mg: 0.5000 0.5000 0.0000
Mg: 0.2500 0.5000 0.5000
Mg: 0.7500 0.5000 0.5000
Hg: 0.4799 0.3023 0.7379
Hg: 0.5201 0.6977 0.2621
Hg: 0.2178 0.3023 0.2621
Hg: 0.7822 0.6977 0.7379

## Properties
Space-group type = No. 69
ΔH_f (0 K) = -0.299 eV/atom